Record 1
! GGA-PBE K2Ca2In, relaxed; values from VASP
&SYSTEM
  ibrav = 0, nat = 10, ntyp = 3
/
ATOMIC_SPECIES
Ca 40.08 Ca.upf
K 39.10 K.upf
In 114.82 In.upf
ATOMIC_POSITIONS angstrom
Ca -1.539 -3.162 -6.713
Ca -4.204 -6.219 -4.891
Ca -3.422 -4.502 -0.865
Ca -0.757 -1.445 -2.687
K 1.943 -4.080 -5.136
K -0.636 -7.499 -5.933
K -1.504 -7.836 -1.677
K 1.075 -4.417 -0.881
In 0.000 0.000 0.000
In -2.481 -3.832 -3.789
CELL_PARAMETERS angstrom
-5.234 -6.516 0.728
0.273 -1.148 -8.307
5.400 -4.252 0.765
! DFT formation energy in meV/atom: 57
! Electronic total energy in eV per formula unit: -8.651
! SG: P4/mbm, No. 127

Record 2
! GGA-PBE LiFePt4, relaxed; values from VASP
&SYSTEM
  ibrav = 0, nat = 6, ntyp = 3
/
ATOMIC_SPECIES
Li 6.94 Li.upf
Fe 55.84 Fe.upf
Pt 195.08 Pt.upf
ATOMIC_POSITIONS angstrom
Li 0.000 0.000 0.000
Fe -6.370 5.376 -4.789
Pt -5.287 4.229 -2.157
Pt -5.037 2.667 -4.243
Pt -3.478 4.753 -3.976
Pt -3.184 2.687 -2.394
CELL_PARAMETERS angstrom
-4.203 3.081 0.473
-0.587 4.128 -3.162
-3.704 -0.041 -3.696
! DFT formation energy in meV/atom: -73
! Electronic total energy in eV per formula unit: -34.976
! SG: F-43m, No. 216

Record 3
! GGA-PBE PrSm2Ga6, relaxed; values from VASP
&SYSTEM
  ibrav = 0, nat = 9, ntyp = 3
/
ATOMIC_SPECIES
Pr 140.91 Pr.upf
Sm 150.36 Sm.upf
Ga 69.72 Ga.upf
ATOMIC_POSITIONS angstrom
Pr 0.000 0.000 0.000
Sm 3.965 6.579 7.465
Sm 2.495 2.192 4.291
Ga 3.770 4.638 2.652
Ga 2.690 4.134 9.104
Ga 6.399 4.636 6.691
Ga 2.135 4.237 6.591
Ga 4.326 4.534 5.165
Ga 0.061 4.135 5.065
CELL_PARAMETERS angstrom
-0.417 4.388 0.273
0.430 1.784 7.699
6.447 2.599 3.784
! DFT formation energy in meV/atom: -471
! Electronic total energy in eV per formula unit: -36.615
! Energy relative to the lowest polymorph listed for this composition in eV/f.u.: 1.884
! SG: Immm, No. 71

Record 4
! GGA-PBE CsHg2PbSe, relaxed; values from VASP
&SYSTEM
  ibrav = 0, nat = 5, ntyp = 4
/
ATOMIC_SPECIES
Pb 207.20 Pb.upf
Cs 132.91 Cs.upf
Hg 200.59 Hg.upf
Se 78.96 Se.upf
ATOMIC_POSITIONS angstrom
Pb 0.000 0.000 0.000
Cs 2.983 2.983 2.926
Hg 0.000 2.983 0.000
Hg 2.983 0.000 0.000
Se 0.000 0.000 2.926
CELL_PARAMETERS angstrom
5.966 0.000 0.000
0.000 5.966 0.000
0.000 0.000 5.852
! Electronic total energy in eV per formula unit: -10.057
! Formation energy (no corrections) in eV/atom: -0.2814
! SG: P4/mmm, No. 123

Record 5
! GGA-PBE AcPr4Dy3Se8, relaxed; values from VASP
&SYSTEM
  ibrav = 0, nat = 16, ntyp = 4
/
ATOMIC_SPECIES
Ac 227.00 Ac.upf
Pr 140.91 Pr.upf
Dy 162.50 Dy.upf
Se 78.96 Se.upf
ATOMIC_POSITIONS angstrom
Ac -0.454 -0.996 4.103
Pr -0.207 4.089 0.969
Pr 3.088 2.601 -1.184
Pr 0.000 0.000 0.000
Pr 3.294 -1.487 -2.154
Dy -0.661 3.093 5.072
Dy 2.633 1.606 2.919
Dy 2.840 -2.483 1.949
Se 5.725 -2.336 2.318
Se 2.565 -0.910 4.384
Se 3.025 0.036 0.492
Se 5.527 1.585 3.248
Se -0.260 1.626 2.589
Se 2.242 3.175 5.345
Se 2.702 4.121 1.453
Se -0.458 5.548 3.519
CELL_PARAMETERS angstrom
-0.413 8.178 1.939
-0.908 -1.992 8.206
6.588 -2.975 -4.308
! Electronic total energy in eV per formula unit: -93.593
! Formation energy (no corrections) in eV/atom: -1.7927
! SG: R-3m, No. 166

Record 6
! GGA-PBE Mn2HgRu, relaxed; values from VASP
&SYSTEM
  ibrav = 0, nat = 4, ntyp = 3
/
ATOMIC_SPECIES
Hg 200.59 Hg.upf
Mn 54.94 Mn.upf
Ru 101.07 Ru.upf
ATOMIC_POSITIONS angstrom
Hg 2.412 -0.488 1.234
Mn 6.012 3.801 0.000
Mn 3.006 1.900 0.000
Ru 0.845 1.990 1.704
CELL_PARAMETERS angstrom
4.573 -0.578 -0.470
1.439 4.379 0.470
-2.754 -2.298 2.938
! DFT formation energy in meV/atom: 339
! Electronic total energy in eV per formula unit: -26.561
! SG: Fmmm, No. 69

Record 7
! GGA-PBE CuBr4, relaxed; values from VASP
&SYSTEM
  ibrav = 0, nat = 5, ntyp = 2
/
ATOMIC_SPECIES
Cu 63.55 Cu.upf
Br 79.90 Br.upf
ATOMIC_POSITIONS angstrom
Cu 0.000 0.000 0.000
Br -0.048 -2.469 1.287
Br -0.610 0.369 2.692
Br 1.933 1.623 1.176
Br -2.496 1.215 0.228
CELL_PARAMETERS angstrom
-0.096 -4.938 2.575
3.867 3.246 2.353
-4.991 2.429 0.456
! Electronic total energy in eV per formula unit: -9.319
! Formation energy (no corrections) in eV/atom: 0.2936
! Energy relative to the lowest polymorph listed for this composition in eV/f.u.: 2.222
! SG: Im-3m, No. 229

Record 8
! GGA-PBE Pr2SmPt, relaxed; values from VASP
&SYSTEM
  ibrav = 0, nat = 16, ntyp = 3
/
ATOMIC_SPECIES
Pr 140.91 Pr.upf
Sm 150.36 Sm.upf
Pt 195.08 Pt.upf
ATOMIC_POSITIONS angstrom
Pr 5.140 6.300 10.622
Pr 1.557 0.563 0.975
Pr 1.792 3.995 6.774
Pr 4.906 2.869 4.823
Pr 5.140 2.867 0.974
Pr 1.557 3.997 10.623
Pr 1.792 0.565 4.824
Pr 4.905 6.299 6.772
Sm 1.674 3.768 2.898
Sm 5.023 3.096 8.699
Sm 5.023 6.522 2.897
Sm 1.675 0.341 8.700
Pt 6.698 1.717 6.871
Pt 0.000 5.146 4.726
Pt 3.349 1.719 10.527
Pt 3.349 5.144 1.070
CELL_PARAMETERS angstrom
6.698 0.000 0.000
0.000 6.858 -0.003
0.000 0.005 11.600
! DFT formation energy in meV/atom: -476
! Electronic total energy in eV per formula unit: -22.222
! Energy relative to the lowest polymorph listed for this composition in eV/f.u.: 0.561
! SG: Pnna, No. 52

Record 9
! GGA-PBE ZrB3S, relaxed; values from VASP
&SYSTEM
  ibrav = 0, nat = 5, ntyp = 3
/
ATOMIC_SPECIES
S 32.06 S.upf
B 10.81 B.upf
Zr 91.22 Zr.upf
ATOMIC_POSITIONS angstrom
S 0.000 0.000 0.000
B 0.000 1.931 0.000
B 0.000 0.000 1.931
B 1.931 0.000 0.000
Zr 1.931 1.931 1.931
CELL_PARAMETERS angstrom
3.861 0.000 0.000
0.000 3.861 0.000
0.000 0.000 3.861
! Electronic total energy in eV per formula unit: -27.065
! Formation energy (no corrections) in eV/atom: 1.1287
! Energy relative to the lowest polymorph listed for this composition in eV/f.u.: 0.000
! SG: Pm-3m, No. 221

Record 10
! GGA-PBE Ir2AuCl, relaxed; values from VASP
&SYSTEM
  ibrav = 0, nat = 4, ntyp = 3
/
ATOMIC_SPECIES
Ir 192.22 Ir.upf
Au 196.97 Au.upf
Cl 35.45 Cl.upf
ATOMIC_POSITIONS angstrom
Ir 1.597 1.597 1.597
Ir 4.791 4.791 4.791
Au 3.194 3.194 3.194
Cl 0.000 0.000 0.000
CELL_PARAMETERS angstrom
0.000 3.194 3.194
3.194 0.000 3.194
3.194 3.194 0.000
! Electronic total energy in eV per formula unit: -18.185
! Formation energy (no corrections) in eV/atom: 1.1652
! Energy relative to the lowest polymorph listed for this composition in eV/f.u.: 3.358
! SG: Fm-3m, No. 225

Record 11
! GGA-PBE CdAs2HSe, relaxed; values from VASP
&SYSTEM
  ibrav = 0, nat = 5, ntyp = 4
/
ATOMIC_SPECIES
H 1.01 H.upf
As 74.92 As.upf
Se 78.96 Se.upf
Cd 112.41 Cd.upf
ATOMIC_POSITIONS angstrom
H 2.615 2.615 2.666
As 0.000 2.615 0.000
As 2.615 0.000 0.000
Se 0.000 0.000 2.666
Cd 0.000 0.000 0.000
CELL_PARAMETERS angstrom
5.230 0.000 0.000
0.000 5.230 0.000
0.000 0.000 5.333
! Electronic total energy in eV per formula unit: -10.650
! Energy relative to the lowest polymorph listed for this composition in eV/f.u.: 4.228
! SG: P4/mmm, No. 123

Record 12
! GGA-PBE ZrPa3, relaxed; values from VASP
&SYSTEM
  ibrav = 0, nat = 4, ntyp = 2
/
ATOMIC_SPECIES
Pa 231.04 Pa.upf
Zr 91.22 Zr.upf
ATOMIC_POSITIONS angstrom
Pa 0.000 0.000 0.000
Pa 3.445 -1.547 8.715
Pa 1.148 -0.516 2.905
Zr 2.297 -1.032 5.810
CELL_PARAMETERS angstrom
-0.640 1.002 5.031
1.110 -3.622 3.519
4.123 0.556 3.070
! DFT formation energy in meV/atom: 204
! Electronic total energy in eV per formula unit: -36.219
! Energy relative to the lowest polymorph listed for this composition in eV/f.u.: 0.602
! SG: Fm-3m, No. 225

Record 13
! GGA-PBE LaTb2Ce, relaxed; values from VASP
&SYSTEM
  ibrav = 0, nat = 4, ntyp = 3
/
ATOMIC_SPECIES
Tb 158.93 Tb.upf
Ce 140.12 Ce.upf
La 138.91 La.upf
ATOMIC_POSITIONS angstrom
Tb 1.736 1.002 8.959
Tb 5.207 3.006 3.409
Ce 3.471 2.004 6.184
La 0.000 0.000 0.000
CELL_PARAMETERS angstrom
3.471 0.000 0.000
1.736 3.006 0.000
1.736 1.002 12.369
! DFT formation energy in meV/atom: 148
! Electronic total energy in eV per formula unit: -19.531
! Energy relative to the lowest polymorph listed for this composition in eV/f.u.: 0.344
! SG: R-3m, No. 166

Record 14
! GGA-PBE CsTl3PdAu, relaxed; values from VASP
&SYSTEM
  ibrav = 0, nat = 12, ntyp = 4
/
ATOMIC_SPECIES
Cs 132.91 Cs.upf
Tl 204.38 Tl.upf
Pd 106.42 Pd.upf
Au 196.97 Au.upf
ATOMIC_POSITIONS angstrom
Cs 2.679 -0.928 8.838
Cs -1.188 -2.906 1.371
Tl 0.402 -5.152 3.948
Tl 0.159 -3.009 6.389
Tl -2.007 0.395 3.418
Tl 1.332 -0.826 3.820
Tl 3.498 -4.229 6.791
Tl 1.089 1.318 6.261
Pd -0.998 -0.511 5.871
Pd 2.489 -3.323 4.338
Au 0.149 0.475 1.320
Au 1.342 -4.310 8.889
CELL_PARAMETERS angstrom
-4.427 -1.813 1.151
5.633 -6.602 0.750
0.285 4.580 8.308
! DFT formation energy in meV/atom: -137
! Electronic total energy in eV per formula unit: -17.246
! SG: C2/m, No. 12

Record 15
! GGA-PBE SmAsAu, relaxed; values from VASP
&SYSTEM
  ibrav = 0, nat = 3, ntyp = 3
/
ATOMIC_SPECIES
As 74.92 As.upf
Au 196.97 Au.upf
Sm 150.36 Sm.upf
ATOMIC_POSITIONS angstrom
As 1.999 1.999 4.097
Au 0.000 0.000 2.424
Sm 1.999 1.999 0.962
CELL_PARAMETERS angstrom
3.998 0.000 0.000
0.000 3.998 0.000
-1.999 -1.999 4.402
! DFT formation energy in meV/atom: -693
! Electronic total energy in eV per formula unit: -14.726
! SG: I4mm, No. 107

Record 16
! GGA-PBE Zr2SiHF, relaxed; values from VASP
&SYSTEM
  ibrav = 0, nat = 5, ntyp = 4
/
ATOMIC_SPECIES
H 1.01 H.upf
Si 28.09 Si.upf
Zr 91.22 Zr.upf
F 19.00 F.upf
ATOMIC_POSITIONS angstrom
H 1.147 -1.050 0.268
Si 0.000 0.000 0.000
Zr 1.268 1.758 1.459
Zr -1.270 -0.845 2.122
F 1.146 -0.138 3.849
CELL_PARAMETERS angstrom
-2.539 -1.691 4.244
2.295 -2.101 0.536
2.537 3.516 2.919
! Electronic total energy in eV per formula unit: -27.738
! Energy relative to the lowest polymorph listed for this composition in eV/f.u.: 3.434
! SG: P4/mmm, No. 123

Record 17
! GGA-PBE CeBAs3, relaxed; values from VASP
&SYSTEM
  ibrav = 0, nat = 10, ntyp = 3
/
ATOMIC_SPECIES
Ce 140.12 Ce.upf
B 10.81 B.upf
As 74.92 As.upf
ATOMIC_POSITIONS angstrom
Ce -0.951 -1.578 3.957
Ce -1.117 3.491 2.139
B 2.078 1.708 5.014
B 1.035 -1.115 2.021
As 2.151 3.364 1.932
As 2.150 -1.685 3.633
As 0.131 1.476 4.449
As 0.230 0.723 2.021
As -2.278 0.419 1.723
As 3.434 0.400 4.322
CELL_PARAMETERS angstrom
-6.400 0.148 0.592
2.408 -3.992 4.427
2.176 6.002 0.759
! DFT formation energy in meV/atom: -332
! Electronic total energy in eV per formula unit: -28.218
! SG: Ima2, No. 46

Record 18
! GGA-PBE BaSrP, relaxed; values from VASP
&SYSTEM
  ibrav = 0, nat = 3, ntyp = 3
/
ATOMIC_SPECIES
Ba 137.33 Ba.upf
Sr 87.62 Sr.upf
P 30.97 P.upf
ATOMIC_POSITIONS angstrom
Ba 0.000 0.000 0.815
Sr 0.000 0.000 4.112
P 0.000 0.000 10.112
CELL_PARAMETERS angstrom
-1.970 1.970 7.519
1.970 -1.970 7.519
1.970 1.970 -7.519
! DFT formation energy in meV/atom: -686
! Electronic total energy in eV per formula unit: -11.073
! Energy relative to the lowest polymorph listed for this composition in eV/f.u.: 0.448
! SG: I4mm, No. 107

Record 19
! GGA-PBE La2MgZnTe5, relaxed; values from VASP
&SYSTEM
  ibrav = 0, nat = 18, ntyp = 4
/
ATOMIC_SPECIES
La 138.91 La.upf
Mg 24.30 Mg.upf
Zn 65.41 Zn.upf
Te 127.60 Te.upf
ATOMIC_POSITIONS angstrom
La -2.651 -10.741 6.467
La -3.245 -5.199 6.867
La -0.553 -3.568 2.968
La 1.551 -7.955 0.219
Mg -1.551 -8.160 3.591
Mg 2.116 -3.265 -0.019
Zn -6.964 -6.705 8.259
Zn 1.756 -9.138 4.293
Te -2.649 -10.560 9.839
Te -4.913 -8.160 7.097
Te 0.334 -11.731 7.514
Te -1.227 -7.807 6.511
Te -0.207 -10.877 4.010
Te -3.104 -5.699 3.561
Te 1.077 -6.633 3.323
Te -3.238 -2.350 1.456
Te -0.179 -5.127 0.128
Te 0.080 -1.078 0.639
CELL_PARAMETERS angstrom
-2.874 -1.847 -2.756
6.868 -6.955 0.995
-6.506 -4.978 10.120
! Electronic total energy in eV per formula unit: -38.891
! Formation energy (no corrections) in eV/atom: -1.1622
! SG: Cmc2_1, No. 36

Record 20
! GGA-PBE Tl3GaIr, relaxed; values from VASP
&SYSTEM
  ibrav = 0, nat = 5, ntyp = 3
/
ATOMIC_SPECIES
Tl 204.38 Tl.upf
Ir 192.22 Ir.upf
Ga 69.72 Ga.upf
ATOMIC_POSITIONS angstrom
Tl 0.000 2.649 0.000
Tl 0.000 0.000 2.649
Tl 2.649 0.000 0.000
Ir 0.000 0.000 0.000
Ga 2.649 2.649 2.649
CELL_PARAMETERS angstrom
5.297 0.000 0.000
0.000 5.297 0.000
0.000 0.000 5.297
! DFT formation energy in meV/atom: 279
! Electronic total energy in eV per formula unit: -17.593
! Energy relative to the lowest polymorph listed for this composition in eV/f.u.: 0.000
! SG: Pm-3m, No. 221

Record 21
! GGA-PBE IrBr, relaxed; values from VASP
&SYSTEM
  ibrav = 0, nat = 12, ntyp = 2
/
ATOMIC_SPECIES
Ir 192.22 Ir.upf
Br 79.90 Br.upf
ATOMIC_POSITIONS angstrom
Ir 1.763 3.525 0.000
Ir 5.288 3.525 0.000
Ir 3.525 0.000 1.763
Ir 3.525 0.000 5.288
Ir 0.000 1.763 3.525
Ir 0.000 5.288 3.525
Br 1.763 0.000 3.525
Br 5.288 0.000 3.525
Br 0.000 3.525 1.763
Br 0.000 3.525 5.288
Br 3.525 1.763 0.000
Br 3.525 5.288 0.000
CELL_PARAMETERS angstrom
7.050 0.000 0.000
0.000 7.050 0.000
0.000 0.000 7.050
! Electronic total energy in eV per formula unit: -7.804
! Formation energy (no corrections) in eV/atom: 1.3652
! Energy relative to the lowest polymorph listed for this composition in eV/f.u.: 2.197
! SG: Pm-3n, No. 223

Record 22
! GGA-PBE Pm4Pr2Y2Mg, relaxed; values from VASP
&SYSTEM
  ibrav = 0, nat = 9, ntyp = 4
/
ATOMIC_SPECIES
Pm 145.00 Pm.upf
Pr 140.91 Pr.upf
Y 88.91 Y.upf
Mg 24.30 Mg.upf
ATOMIC_POSITIONS angstrom
Pm -0.628 -4.754 3.271
Pm 2.315 -6.052 1.745
Pm 0.956 -3.064 0.313
Pm -1.987 -1.766 1.839
Pr -0.816 -6.121 -0.058
Pr 1.144 -1.697 3.642
Y 4.214 -2.954 2.094
Y -3.885 -4.864 1.490
Mg 0.000 0.000 0.000
CELL_PARAMETERS angstrom
-3.807 -6.456 -1.328
7.750 -4.579 0.443
-3.615 3.217 4.469
! DFT formation energy in meV/atom: 82
! Electronic total energy in eV per formula unit: -42.346
! SG: P-1, No. 2

Record 23
! GGA-PBE GaPdBr, relaxed; values from VASP
&SYSTEM
  ibrav = 0, nat = 6, ntyp = 3
/
ATOMIC_SPECIES
Ga 69.72 Ga.upf
Pd 106.42 Pd.upf
Br 79.90 Br.upf
ATOMIC_POSITIONS angstrom
Ga 0.327 -4.149 0.387
Ga -2.388 -7.084 2.287
Pd 0.198 -6.400 1.762
Pd -2.131 -4.917 0.802
Br -1.481 -9.403 2.437
Br -0.756 -1.718 0.388
CELL_PARAMETERS angstrom
-2.604 -1.168 -2.159
2.287 -1.470 -1.963
-0.791 -9.208 5.977
! Electronic total energy in eV per formula unit: -11.290
! Formation energy (no corrections) in eV/atom: -0.4659
! Energy relative to the lowest polymorph listed for this composition in eV/f.u.: 0.144
! SG: P2_1, No. 4

Record 24
! GGA-PBE H8Pd3Pt2, relaxed; values from VASP
&SYSTEM
  ibrav = 0, nat = 13, ntyp = 3
/
ATOMIC_SPECIES
H 1.01 H.upf
Pd 106.42 Pd.upf
Pt 195.08 Pt.upf
ATOMIC_POSITIONS angstrom
H 3.175 -7.662 4.560
H 2.313 -3.216 1.356
H 0.140 -3.817 3.093
H 5.347 -7.061 2.823
H 1.238 -5.769 2.350
H 2.221 -4.334 4.076
H 3.266 -6.544 1.839
H 4.249 -5.110 3.565
Pd -0.568 -1.746 1.775
Pd 3.864 -2.888 2.152
Pd 2.760 -4.498 0.214
Pt 0.790 -5.210 3.880
Pt 4.697 -5.668 2.036
CELL_PARAMETERS angstrom
-1.136 -3.492 3.550
2.218 -5.289 -0.737
4.406 -2.097 3.103
! Electronic total energy in eV per formula unit: -53.999
! SG: C2/m, No. 12

Record 25
! GGA-PBE Ca2Si2I, relaxed; values from VASP
&SYSTEM
  ibrav = 0, nat = 10, ntyp = 3
/
ATOMIC_SPECIES
I 126.90 I.upf
Ca 40.08 Ca.upf
Si 28.09 Si.upf
ATOMIC_POSITIONS angstrom
I 0.000 0.000 0.000
I 0.913 -4.852 -3.209
Ca 2.650 -3.983 -5.577
Ca 0.909 -7.727 -4.267
Ca -0.825 -5.721 -0.841
Ca 0.917 -1.978 -2.152
Si 3.965 -2.195 -3.004
Si 4.096 -6.720 -4.882
Si 1.318 -8.336 -1.181
Si 1.187 -3.811 0.697
CELL_PARAMETERS angstrom
-2.300 -7.981 0.607
4.126 -1.724 -7.025
3.457 -0.827 2.233
! Electronic total energy in eV per formula unit: -18.976
! Formation energy (no corrections) in eV/atom: -0.5154
! SG: P4/mbm, No. 127

no.,total magnetization (μB per atom)
1,0.00
2,0.60
3,0.00
4,0.00
5,0.00
6,1.98
7,0.00
8,0.00
9,0.00
10,0.37
11,0.05
12,0.00
13,0.03
14,0.00
15,0.00
16,0.00
17,0.13
18,0.14
19,0.00
20,0.00
21,0.00
22,0.00
23,0.00
24,0.00
25,0.00